# 1
ScZnHg2 at its PBEsol-relaxed geometry, computed with meta-GGA SCAN.

Lattice parameters (Å, degrees): 3.096 4.646 5.538 90.00 90.33 90.00
Fractional positions:
Sc 0.500 0.000 0.499
Hg 0.997 0.500 0.276
Hg 0.001 0.000 0.977
Zn 0.002 0.500 0.749

Output
* ΔE_f: -0.284 eV/atom
* SG: Pm, No. 6

---

# 2
Zr2ScHg at its PBEsol-relaxed geometry, computed with meta-GGA SCAN.

Lattice parameters (Å, degrees): 4.314 4.314 4.501 90.00 90.00 90.00
Fractional positions:
Zr 0.500 0.000 0.000
Zr 0.000 0.500 0.000
Hg 0.500 0.500 0.500
Sc 0.000 0.000 0.500

Output
* ΔE_f: -0.283 eV/atom
* SG: P4/mmm, No. 123

---

Calculated DFT total energy in order - -165.2, -144.9 eV/cell